No. 1
Compound: GdErAl6
Source: the Alexandria database
Functional: SCAN
Structure: single point on PBEsol structure

## Properties
E_tot (eV per atom): -19.9021
Crystal system: hexagonal
Space-group type: No. 194
Total magnetization (Bohr magnetons per cell): 14.10
Density (g/cm³): 5.4

Cell lengths 6.053, 6.053, 9.448 Å; angles 90.00, 90.00, 120.00 degrees
Each line ends with the local moment (μB).
Element x y z (fractional)
Al 0.182 0.363 0.250  -0.01
Al 0.363 0.182 0.750  -0.01
Al 0.500 0.500 0.500  -0.02
Al 0.818 0.182 0.750  -0.01
Al 0.500 0.000 0.500  -0.02
Al 0.182 0.818 0.250  -0.01
Al 0.000 0.500 0.000  -0.02
Al 0.500 0.500 0.000  -0.02
Al 0.500 0.000 0.000  -0.02
Al 0.818 0.637 0.750  -0.01
Al 0.000 0.500 0.500  -0.02
Al 0.637 0.818 0.250  -0.01
Er 0.333 0.667 0.750  -0.07
Er 0.667 0.333 0.250  -0.07
Gd 0.000 0.000 0.000  7.17
Gd 0.000 0.000 0.500  7.17

***

No. 2
Compound: Er6Al2Ge7
Source: the Alexandria database
Functional: SCAN
Structure: single point on PBEsol structure

## Properties
E_tot (eV per atom): -30.8759
Crystal system: monoclinic
Space-group type: No. 12
Total magnetization (Bohr magnetons per cell): 0.00
Density (g/cm³): 8.6

Cell lengths 4.013, 5.537, 14.631 Å; angles 90.68, 90.00, 111.25 degrees
Element x y z (fractional)
Er 0.325 0.651 0.906
Er 0.644 0.289 0.571
Er 0.356 0.711 0.429
Er 0.962 0.924 0.239
Er 0.038 0.076 0.761
Er 0.675 0.349 0.094
Ge 0.389 0.778 0.101
Ge 0.000 0.000 0.000
Ge 0.753 0.506 0.759
Ge 0.611 0.222 0.899
Ge 0.932 0.865 0.571
Ge 0.247 0.494 0.241
Ge 0.068 0.135 0.429
Al 0.659 0.319 0.336
Al 0.341 0.681 0.664

***

Number 1: ΔH_f (0 K) -0.444 eV per atom, N(E_F) 3.068 states/eV/cell. Number 2: ΔH_f (0 K) -0.799 eV per atom, N(E_F) 5.665 states/eV/cell.